VASP calculation (GGA-PBEsol) on crystalline Cs3YCl6 at its relaxed geometry.

Output
E_form (uncorrected): -2.1104 eV per atom
Space group: Fm-3m
Fermi-level density of states: 0.00 states/eV/cell

POSCAR file:
```
Cs3YCl6
1.0
0.000 5.802 5.802
5.802 0.000 5.802
5.802 5.802 0.000
Cs Y Cl
3 1 6
Cartesian
0.000 0.000 0.000 Cs
2.901 2.901 2.901 Cs
8.703 8.703 8.703 Cs
5.802 5.802 5.802 Y
5.802 5.802 3.199 Cl
5.802 3.199 5.802 Cl
8.405 5.802 5.802 Cl
3.199 5.802 5.802 Cl
5.802 8.405 5.802 Cl
5.802 5.802 8.405 Cl
```